Material: BaSeS
Method: DFT, GGA-PBE
State: optimized geometry

Calculated values
Uncorrected formation energy, meV/atom: -1315
Energy relative to the lowest polymorph listed for this composition, eV/atom: 0.031
E, eV per atom: -4.49

abc: 4.3957 4.3957 10.7208
angles: 90.00 90.00 90.00
Closest atoms and distances in Å follow each position.
Space group I4mm (No. 107)
Symmetry-distinct sites (fractional):
Ba 0.0000 0.0000 0.0000 (multiplicity 2)  4 S 3.26, 4 Se 3.38
Se 0.0000 0.0000 0.3770 (multiplicity 2)  1 S 2.29
S 0.0000 0.0000 0.5903 (multiplicity 2)  1 Se 2.29

Material: Pm4Ru2Cl3
Method: DFT, GGA-PBE
State: optimized geometry

Calculated values
Uncorrected formation energy, meV/atom: -1032
E, eV per atom: -5.82

abc: 4.0415 4.0415 17.9906
angles: 90.00 90.00 120.00
Closest atoms and distances in Å follow each position.
Space group P-3m1 (No. 164)
Symmetry-distinct sites (fractional):
Pm 0.0000 0.0000 0.1975 (multiplicity 2)  3 Ru 2.89, 3 Cl 2.91
Pm 0.3333 0.6667 0.3759 (multiplicity 2)  3 Ru 2.78
Ru 0.3333 0.6667 0.7078 (multiplicity 2)  6 Pm 2.78-2.89
Cl 0.0000 0.0000 0.5000 (multiplicity 1)  6 Pm 3.23
Cl 0.3333 0.6667 0.1012 (multiplicity 2)  3 Pm 2.91